Entry 1:
A geometry-optimized PmNd6Cd structure, computed with PBE.

a = 5.0597 Å, b = 5.0597 Å, c = 10.3199 Å
α = 90.00°, β = 90.00°, γ = 90.00°
Fractional positions:
Pm 0.0000 0.0000 0.0000
Nd 0.0000 0.5000 0.2566
Nd 0.0000 0.5000 0.7434
Nd 0.5000 0.0000 0.2566
Nd 0.5000 0.0000 0.7434
Nd 0.5000 0.5000 0.0000
Nd 0.5000 0.5000 0.5000
Cd 0.0000 0.0000 0.5000

Results
- DFT total energy: -4.3240 eV/atom
- Energy relative to the lowest polymorph listed for this composition: 0.000 eV/atom
- Energy of formation from the pure elements: -4 kJ/mol of atoms


Entry 2:
A geometry-optimized Pm6NdCd5 structure, computed with PBE.

a = 9.4849 Å, b = 9.4849 Å, c = 9.4849 Å
α = 146.82°, β = 131.01°, γ = 60.45°
Fractional positions:
Pm 0.0706 0.3283 0.7422
Pm 0.2286 0.0000 0.2286
Pm 0.4139 0.6717 0.7422
Pm 0.5861 0.3283 0.2578
Pm 0.7714 0.0000 0.7714
Pm 0.9294 0.6717 0.2578
Nd 0.5000 0.5000 0.0000
Cd 0.0000 0.5000 0.5000
Cd 0.1695 0.1695 0.0000
Cd 0.3444 0.8444 0.5000
Cd 0.6556 0.1556 0.5000
Cd 0.8305 0.8305 0.0000

Results
- DFT total energy: -3.3738 eV/atom
- Energy of formation from the pure elements: -21 kJ/mol of atoms


Entry 3:
A geometry-optimized Pm4NdCd structure, computed with PBE.

a = 5.3478 Å, b = 5.3478 Å, c = 7.7452 Å
α = 90.00°, β = 90.00°, γ = 90.00°
Fractional positions:
Pm 0.0000 0.5000 0.0000
Pm 0.0000 0.5000 0.4739
Pm 0.5000 0.0000 0.0000
Pm 0.5000 0.0000 0.4739
Nd 0.0000 0.0000 0.7363
Cd 0.5000 0.5000 0.2369

Results
- DFT total energy: -3.7251 eV/atom
- Energy relative to the lowest polymorph listed for this composition: 0.486 eV/atom
- Energy of formation from the pure elements: 38 kJ/mol of atoms


Entry 4:
A geometry-optimized Pm4Nd3Cd4 structure, computed with PBE.

a = 9.9782 Å, b = 9.9782 Å, c = 9.9782 Å
α = 148.52°, β = 138.49°, γ = 53.01°
Fractional positions:
Pm 0.0556 0.8194 0.2363
Pm 0.4169 0.1806 0.2363
Pm 0.5831 0.8194 0.7637
Pm 0.9444 0.1806 0.7637
Nd 0.0000 0.5000 0.5000
Nd 0.3999 0.3999 0.0000
Nd 0.6001 0.6001 0.0000
Cd 0.1739 0.6739 0.5000
Cd 0.2927 0.0000 0.2927
Cd 0.7073 0.0000 0.7073
Cd 0.8261 0.3261 0.5000

Results
- DFT total energy: -3.4597 eV/atom
- Energy of formation from the pure elements: -10 kJ/mol of atoms


Entry 5:
A geometry-optimized Pm8Nd5Cd structure, computed with PBE.

a = 8.5901 Å, b = 8.5901 Å, c = 8.5901 Å
α = 110.04°, β = 110.04°, γ = 108.34°
Fractional positions:
Pm 0.0833 0.3484 0.6023
Pm 0.1673 0.4455 0.1071
Pm 0.3384 0.0601 0.8929
Pm 0.5190 0.9167 0.2651
Pm 0.5545 0.6616 0.7218
Pm 0.6516 0.2538 0.7349
Pm 0.7462 0.4810 0.3977
Pm 0.9399 0.8327 0.2782
Nd 0.0155 0.7089 0.8898
Nd 0.2911 0.1809 0.3066
Nd 0.5000 0.5000 0.0000
Nd 0.8191 0.1256 0.1102
Nd 0.8744 0.9845 0.6934
Cd 0.2500 0.7500 0.5000

Results
- DFT total energy: -4.2965 eV/atom
- Energy of formation from the pure elements: 18 kJ/mol of atoms


Entry 6:
A geometry-optimized Pm5Nd4Cd structure, computed with PBE.

a = 3.6867 Å, b = 3.6867 Å, c = 24.6769 Å
α = 90.00°, β = 90.00°, γ = 90.00°
Fractional positions:
Pm 0.0000 0.0000 0.0000
Pm 0.0000 0.0000 0.2091
Pm 0.0000 0.0000 0.4163
Pm 0.0000 0.0000 0.5837
Pm 0.0000 0.0000 0.7909
Nd 0.5000 0.5000 0.1044
Nd 0.5000 0.5000 0.3131
Nd 0.5000 0.5000 0.6869
Nd 0.5000 0.5000 0.8956
Cd 0.5000 0.5000 0.5000

Results
- DFT total energy: -4.4271 eV/atom
- Energy of formation from the pure elements: -5 kJ/mol of atoms


Entry 7:
A geometry-optimized Pm2Nd7Cd2 structure, computed with PBE.

a = 6.7675 Å, b = 6.7675 Å, c = 8.3145 Å
α = 99.11°, β = 99.11°, γ = 94.22°
Fractional positions:
Pm 0.1797 0.8203 0.0000
Pm 0.8203 0.1797 0.0000
Nd 0.0000 0.0000 0.5000
Nd 0.1127 0.5246 0.3271
Nd 0.3106 0.3106 0.9699
Nd 0.4754 0.8873 0.6729
Nd 0.5246 0.1127 0.3271
Nd 0.6894 0.6894 0.0301
Nd 0.8873 0.4754 0.6729
Cd 0.3951 0.3951 0.6363
Cd 0.6049 0.6049 0.3637

Results
- DFT total energy: -4.0307 eV/atom
- Energy of formation from the pure elements: 3 kJ/mol of atoms


Entry 8:
A geometry-optimized Pm7Nd12Cd structure, computed with PBE.

a = 10.0654 Å, b = 10.0654 Å, c = 10.0654 Å
α = 109.47°, β = 109.47°, γ = 109.47°
Fractional positions:
Pm 0.0000 0.0000 0.5000
Pm 0.0000 0.5000 0.0000
Pm 0.0000 0.5000 0.5000
Pm 0.5000 0.0000 0.0000
Pm 0.5000 0.0000 0.5000
Pm 0.5000 0.5000 0.0000
Pm 0.5000 0.5000 0.5000
Nd 0.0013 0.2437 0.7576
Nd 0.2424 0.4861 0.2437
Nd 0.2424 0.9987 0.7563
Nd 0.2437 0.2424 0.4861
Nd 0.2437 0.7576 0.0013
Nd 0.4861 0.2437 0.2424
Nd 0.5139 0.7563 0.7576
Nd 0.7563 0.2424 0.9987
Nd 0.7563 0.7576 0.5139
Nd 0.7576 0.0013 0.2437
Nd 0.7576 0.5139 0.7563
Nd 0.9987 0.7563 0.2424
Cd 0.0000 0.0000 0.0000

Results
- DFT total energy: -3.9637 eV/atom
- Energy relative to the lowest polymorph listed for this composition: 0.448 eV/atom
- Energy of formation from the pure elements: 58 kJ/mol of atoms


Entry 9:
A geometry-optimized Pm8Nd2Cd structure, computed with PBE.

a = 9.5357 Å, b = 9.5357 Å, c = 8.0749 Å
α = 104.94°, β = 104.94°, γ = 31.12°
Fractional positions:
Pm 0.0449 0.0449 0.2239
Pm 0.1349 0.1349 0.6771
Pm 0.3205 0.3205 0.5908
Pm 0.4112 0.4112 0.0561
Pm 0.5888 0.5888 0.9439
Pm 0.6795 0.6795 0.4092
Pm 0.8651 0.8651 0.3229
Pm 0.9551 0.9551 0.7761
Nd 0.2244 0.2244 0.1359
Nd 0.7756 0.7756 0.8641
Cd 0.5000 0.5000 0.5000

Results
- DFT total energy: -4.4216 eV/atom
- Energy relative to the lowest polymorph listed for this composition: 0.003 eV/atom
- Energy of formation from the pure elements: -2 kJ/mol of atoms


Entry 10:
A geometry-optimized Pm8Nd4Cd structure, computed with PBE.

a = 7.8701 Å, b = 7.8701 Å, c = 7.8701 Å
α = 90.52°, β = 90.52°, γ = 90.52°
Fractional positions:
Pm 0.2431 0.2431 0.7502
Pm 0.2431 0.7502 0.2431
Pm 0.2436 0.2436 0.2436
Pm 0.2498 0.7569 0.7569
Pm 0.7502 0.2431 0.2431
Pm 0.7564 0.7564 0.7564
Pm 0.7569 0.2498 0.7569
Pm 0.7569 0.7569 0.2498
Nd 0.0000 0.0000 0.0000
Nd 0.0000 0.5000 0.5000
Nd 0.5000 0.0000 0.5000
Nd 0.5000 0.5000 0.0000
Cd 0.5000 0.5000 0.5000

Results
- DFT total energy: -3.9597 eV/atom
- Energy of formation from the pure elements: 48 kJ/mol of atoms


Entry 11:
A geometry-optimized PmNdCd4 structure, computed with PBE.

a = 3.4499 Å, b = 5.0864 Å, c = 8.7864 Å
α = 90.00°, β = 90.00°, γ = 90.00°
Fractional positions:
Pm 0.0000 0.0000 0.0000
Nd 0.0000 0.5000 0.5000
Cd 0.5000 0.0000 0.3324
Cd 0.5000 0.0000 0.6676
Cd 0.5000 0.5000 0.1659
Cd 0.5000 0.5000 0.8341

Results
- DFT total energy: -2.5415 eV/atom
- Energy relative to the lowest polymorph listed for this composition: 0.002 eV/atom
- Energy of formation from the pure elements: -33 kJ/mol of atoms


Entry 12:
A geometry-optimized PmNd2Cd3 structure, computed with PBE.

a = 3.8430 Å, b = 3.8430 Å, c = 11.5904 Å
α = 90.00°, β = 90.00°, γ = 90.00°
Fractional positions:
Pm 0.0000 0.0000 0.0000
Nd 0.0000 0.0000 0.3323
Nd 0.0000 0.0000 0.6677
Cd 0.5000 0.5000 0.1642
Cd 0.5000 0.5000 0.5000
Cd 0.5000 0.5000 0.8358

Results
- DFT total energy: -3.1562 eV/atom
- Energy relative to the lowest polymorph listed for this composition: 0.003 eV/atom
- Energy of formation from the pure elements: -31 kJ/mol of atoms